# 1
Below is a PBEsol-optimized structure of Tl2WBr, with properties calculated at the meta-GGA SCAN level.

Output
**Crystal system**: cubic
**Electronic total energy**: -57.264 eV per atom
**Total magnetization**: 3.0 μB/f.u.
**Relative energy among the computed polymorphs**: 2.23 eV/f.u.
**ΔE_f (raw)**: 1.20 eV per atom

Unit cell a=5.0664 b=5.0664 c=5.0664 alpha=60.00 beta=60.00 gamma=60.00
With the nearest neighbours (Å) after each atom.
Fractional coordinates of all 4 atoms:
1 Tl 0.0000 0.0000 0.0000  4 W 3.10, 4 Tl 3.10
2 Tl 0.2500 0.2500 0.2500  4 Br 3.10, 4 Tl 3.10
3 W 0.7500 0.7500 0.7500  4 Br 3.10, 4 Tl 3.10
4 Br 0.5000 0.5000 0.5000  4 W 3.10, 4 Tl 3.10

---

# 2
Below is a PBEsol-optimized structure of ZrCdAg, with properties calculated at the meta-GGA SCAN level.

Output
**Calculated formation energy**: -0.2 eV/f.u.
**Crystal system**: orthorhombic
**Electronic total energy**: -30.886 eV per atom
**Total magnetization**: 0.0 μB/f.u.

Unit cell a=5.1310 b=5.1310 c=5.1310 alpha=146.88 beta=128.43 gamma=62.67
With the nearest neighbours (Å) after each atom.
Fractional coordinates of all 3 atoms:
1 Zr 0.0000 0.0000 0.0000  5 Ag 2.90-3.05, 2 Zr 2.92, 5 Cd 2.93-3.04
2 Cd 0.3345 0.3345 0.0000  2 Cd 2.92, 5 Zr 2.93-3.04, 5 Ag 2.93-3.04
3 Ag 0.6691 0.6691 0.0000  5 Zr 2.90-3.05, 2 Ag 2.92, 5 Cd 2.93-3.04

---

Which value of electronic total energy does entry 1 give? -57.264 eV per atom

---

Which value of total magnetization does entry 1 give? 3.0 μB/f.u.

---

Among the records above, which one has the lowest total magnetization? ZrCdAg

---

Repeat the second record exactly.
Below is a PBEsol-optimized structure of ZrCdAg, with properties calculated at the meta-GGA SCAN level.

Output
**Calculated formation energy**: -0.2 eV/f.u.
**Crystal system**: orthorhombic
**Electronic total energy**: -30.886 eV per atom
**Total magnetization**: 0.0 μB/f.u.

Unit cell a=5.1310 b=5.1310 c=5.1310 alpha=146.88 beta=128.43 gamma=62.67
With the nearest neighbours (Å) after each atom.
Fractional coordinates of all 3 atoms:
1 Zr 0.0000 0.0000 0.0000  5 Ag 2.90-3.05, 2 Zr 2.92, 5 Cd 2.93-3.04
2 Cd 0.3345 0.3345 0.0000  2 Cd 2.92, 5 Zr 2.93-3.04, 5 Ag 2.93-3.04
3 Ag 0.6691 0.6691 0.0000  5 Zr 2.90-3.05, 2 Ag 2.92, 5 Cd 2.93-3.04